Entry 1:
{"formula": "La2Pr6NdY", "functional": "PBE", "state": "relaxed", "formation_enthalpy_0k_mev_per_atom": 103, "volume_a3_per_atom": 36.1, "dft_energy_ry_per_atom": -0.358, "cell": [[-9.643, -0.125, -3.280], [1.669, -8.627, -2.100], [-2.096, 1.970, 8.565]], "species": ["La", "Y", "Nd", "Nd", "Pr", "Pr", "Pr", "Pr", "Pr", "La", "Pr", "Pr", "La", "Pr", "Pr", "Pr", "Pr", "Y", "Pr", "La"], "frac_coords": [[0.041, 0.291, 0.194], [0.250, 0.406, 0.594], [0.250, 0.986, 0.014], [0.750, 0.014, 0.986], [0.620, 0.497, 0.702], [0.880, 0.298, 0.503], [0.054, 0.119, 0.742], [0.380, 0.503, 0.298], [0.120, 0.702, 0.497], [0.959, 0.709, 0.806], [0.813, 0.423, 0.983], [0.313, 0.983, 0.423], [0.541, 0.194, 0.291], [0.946, 0.881, 0.258], [0.554, 0.742, 0.119], [0.446, 0.258, 0.881], [0.187, 0.577, 0.017], [0.750, 0.594, 0.406], [0.687, 0.017, 0.577], [0.459, 0.806, 0.709]]}



Entry 2:
{"formula": "Fe2TcRh", "functional": "PBE", "state": "relaxed", "formation_enthalpy_0k_mev_per_atom": 154, "volume_a3_per_atom": 13.4, "dft_energy_ry_per_atom": -0.625, "cell": [[-2.103, -2.832, -3.339], [5.005, 0.072, 0.110], [0.548, -2.271, 1.163]], "species": ["Fe", "Fe", "Tc", "Rh"], "frac_coords": [[0.500, 0.000, 0.500], [0.000, 0.000, 0.000], [0.500, 0.500, 0.000], [0.000, 0.500, 0.500]]}



Entry 3:
{"formula": "Sm4CdAg2", "functional": "PBE", "state": "relaxed", "formation_enthalpy_0k_mev_per_atom": -136, "volume_a3_per_atom": 28.5, "dft_energy_ry_per_atom": -0.278, "cell": [[-1.243, 4.217, 2.858], [-4.801, 2.079, -0.345], [-4.618, -2.882, 7.054]], "species": ["Sm", "Sm", "Cd", "Ag", "Ag", "Sm", "Sm"], "frac_coords": [[0.130, 0.130, 0.610], [0.383, 0.383, 0.852], [0.000, 0.000, 0.000], [0.745, 0.745, 0.766], [0.255, 0.255, 0.234], [0.617, 0.617, 0.148], [0.870, 0.870, 0.390]]}



Entry 4:
{"formula": "KLi2Tl", "functional": "PBE", "state": "relaxed", "formation_enthalpy_0k_mev_per_atom": 21, "volume_a3_per_atom": 28.6, "dft_energy_ry_per_atom": -0.132, "cell": [[6.449, -0.027, -0.027], [2.970, 5.724, 0.027], [-4.017, -3.992, 3.083]], "species": ["Li", "Li", "Tl", "K"], "frac_coords": [[0.973, 0.973, 0.000], [0.742, 0.242, 0.500], [0.531, 0.531, 0.000], [0.254, 0.754, 0.500]]}



Entry 5:
{"formula": "TeAsPdI2", "functional": "PBE", "state": "relaxed", "volume_a3_per_atom": 34.9, "dft_energy_ry_per_atom": -0.188, "e_form_raw_ev_per_fu": 3.3, "cell": [[5.624, 0.000, 0.000], [0.000, 5.624, 0.000], [0.000, 0.000, 5.515]], "species": ["I", "I", "Pd", "As", "Te"], "frac_coords": [[0.500, 0.000, 0.000], [0.000, 0.500, 0.000], [0.500, 0.500, 0.500], [0.000, 0.000, 0.000], [0.000, 0.000, 0.500]]}



Entry 6:
{"formula": "Ac6RuRh2Au", "functional": "PBE", "state": "relaxed", "formation_enthalpy_0k_mev_per_atom": -502, "volume_a3_per_atom": 34.3, "dft_energy_ry_per_atom": -0.418, "cell": [[-3.025, 6.222, 2.992], [-7.397, 1.285, -0.662], [-4.607, -0.912, 6.740]], "species": ["Au", "Rh", "Ac", "Ac", "Ru", "Ac", "Ac", "Ac", "Rh", "Ac"], "frac_coords": [[0.832, 0.832, 0.504], [0.500, 0.500, 0.499], [0.264, 0.918, 0.240], [0.919, 0.577, 0.240], [0.333, 0.333, 0.001], [0.577, 0.264, 0.240], [0.396, 0.743, 0.760], [0.742, 0.102, 0.760], [0.997, 0.996, 0.011], [0.101, 0.396, 0.760]]}



Entry 7:
{"formula": "ZnIn3Si", "functional": "PBE", "state": "relaxed", "volume_a3_per_atom": 27.4, "dft_energy_ry_per_atom": -0.174, "e_form_raw_ev_per_fu": 3.1, "cell": [[-3.965, 1.392, 2.990], [-3.290, -2.005, -3.429], [0.237, -4.543, 2.429]], "species": ["In", "Zn", "In", "In", "Si"], "frac_coords": [[0.000, 0.000, 0.500], [0.000, 0.000, 0.000], [0.000, 0.500, 0.000], [0.500, 0.000, 0.000], [0.500, 0.500, 0.500]]}



Entry 8:
{"formula": "DyYErTm", "functional": "PBE", "state": "relaxed", "formation_enthalpy_0k_mev_per_atom": 137, "volume_a3_per_atom": 31.6, "dft_energy_ry_per_atom": -0.359, "cell": [[5.635, 0.000, 0.000], [2.817, 4.880, 0.000], [2.817, 1.627, 4.601]], "species": ["Dy", "Y", "Tm", "Er"], "frac_coords": [[0.250, 0.250, 0.250], [0.750, 0.750, 0.750], [0.500, 0.500, 0.500], [0.000, 0.000, 0.000]]}



Entry 9:
{"formula": "Ti2Zn3Au", "functional": "PBE", "state": "relaxed", "formation_enthalpy_0k_mev_per_atom": -246, "volume_a3_per_atom": 15.7, "dft_energy_ry_per_atom": -0.298, "cell": [[5.117, -1.047, 0.000], [-1.245, 5.072, 0.000], [-1.936, -2.013, 7.650]], "species": ["Ti", "Ti", "Ti", "Au", "Zn", "Zn", "Au", "Zn", "Zn", "Ti", "Zn", "Zn"], "frac_coords": [[0.251, 0.251, 0.000], [0.750, 0.250, 0.500], [0.250, 0.750, 0.500], [0.334, 0.334, 0.667], [0.673, 0.164, 0.837], [0.327, 0.836, 0.163], [0.666, 0.666, 0.333], [0.163, 0.163, 0.326], [0.837, 0.837, 0.674], [0.749, 0.749, 0.000], [0.836, 0.327, 0.163], [0.164, 0.673, 0.837]]}



Entry 10:
{"formula": "Ta3HPb", "functional": "PBE", "state": "relaxed", "volume_a3_per_atom": 27.7, "dft_energy_ry_per_atom": -0.397, "cell": [[5.174, 0.000, 0.000], [0.000, 5.174, 0.000], [0.000, 0.000, 5.174]], "species": ["H", "Ta", "Ta", "Ta", "Pb"], "frac_coords": [[0.500, 0.500, 0.500], [0.500, 0.000, 0.000], [0.000, 0.000, 0.500], [0.000, 0.500, 0.000], [0.000, 0.000, 0.000]]}



Entry 11:
{"formula": "Rb3IF4", "functional": "PBE", "state": "relaxed", "volume_a3_per_atom": 30.8, "dft_energy_ry_per_atom": -0.269, "e_form_raw_ev_per_fu": -17.3, "cell": [[5.942, 0.000, 0.000], [0.000, 9.003, 0.000], [0.000, 0.000, 9.214]], "species": ["Rb", "Rb", "Rb", "F", "Rb", "F", "Rb", "F", "F", "I", "F", "I", "F", "F", "F", "Rb"], "frac_coords": [[0.564, 0.298, 0.233], [0.064, 0.156, 0.500], [0.564, 0.844, 0.000], [0.065, 0.803, 0.000], [0.064, 0.702, 0.733], [0.565, 0.129, 0.000], [0.064, 0.702, 0.267], [0.064, 0.364, 0.232], [0.565, 0.197, 0.500], [0.064, 0.364, 0.000], [0.064, 0.364, 0.768], [0.564, 0.636, 0.500], [0.564, 0.636, 0.732], [0.564, 0.636, 0.268], [0.065, 0.871, 0.500], [0.564, 0.298, 0.767]]}



Entry 12:
{"formula": "RuPb2Br", "functional": "PBE", "state": "relaxed", "volume_a3_per_atom": 24.4, "dft_energy_ry_per_atom": -0.309, "e_form_raw_ev_per_fu": 1.5, "cell": [[-3.401, -0.767, -0.226], [0.753, -3.404, 0.235], [-0.623, 0.412, 7.969]], "species": ["Ru", "Br", "Pb", "Pb"], "frac_coords": [[0.000, 0.000, 0.474], [0.500, 0.500, 0.706], [0.500, 0.500, 0.306], [0.000, 0.000, 0.013]]}



Entry 13:
{"formula": "Cs4La3ZrSe8", "functional": "PBE", "state": "relaxed", "volume_a3_per_atom": 34.7, "dft_energy_ry_per_atom": -0.372, "e_form_raw_ev_per_fu": -26.4, "cell": [[-8.030, 0.572, -3.421], [2.365, -6.755, -6.681], [1.031, -2.266, 8.385]], "species": ["La", "La", "La", "Se", "Cs", "Cs", "Cs", "Se", "Se", "Se", "Se", "Se", "Zr", "Cs", "Se", "Se"], "frac_coords": [[0.500, 0.500, 0.500], [0.500, 0.500, 0.000], [0.000, 0.500, 0.500], [0.217, 0.686, 0.969], [0.500, 0.000, 0.000], [0.000, 0.000, 0.500], [0.000, 0.000, 0.000], [0.268, 0.304, 0.536], [0.783, 0.314, 0.031], [0.248, 0.314, 0.031], [0.218, 0.686, 0.435], [0.752, 0.686, 0.969], [0.000, 0.500, 0.000], [0.500, 0.000, 0.500], [0.732, 0.696, 0.464], [0.782, 0.314, 0.565]]}



Entry 14:
{"formula": "ScRe2WI", "functional": "PBE", "state": "relaxed", "volume_a3_per_atom": 22.4, "dft_energy_ry_per_atom": -0.504, "e_form_raw_ev_per_fu": 11.4, "cell": [[4.806, 0.000, 0.000], [0.000, 4.854, 0.000], [0.000, 0.000, 4.806]], "species": ["W", "Re", "Sc", "Re", "I"], "frac_coords": [[0.000, 0.500, 0.000], [0.000, 0.000, 0.500], [0.500, 0.500, 0.500], [0.500, 0.000, 0.000], [0.000, 0.000, 0.000]]}



Entry 15:
{"formula": "Ac3Cr", "functional": "PBE", "state": "relaxed", "formation_enthalpy_0k_mev_per_atom": 430, "volume_a3_per_atom": 37.6, "dft_energy_ry_per_atom": -0.372, "cell": [[5.317, 0.000, 0.000], [0.000, 5.317, 0.000], [0.000, 0.000, 5.317]], "species": ["Ac", "Ac", "Cr", "Ac"], "frac_coords": [[0.500, 0.000, 0.500], [0.000, 0.500, 0.500], [0.000, 0.000, 0.000], [0.500, 0.500, 0.000]]}



Entry 16:
{"formula": "AgMo2W", "functional": "PBE", "state": "relaxed", "formation_enthalpy_0k_mev_per_atom": 484, "volume_a3_per_atom": 16.4, "dft_energy_ry_per_atom": -0.653, "cell": [[2.640, 0.000, 0.000], [0.000, 4.378, 0.000], [0.000, 0.000, 5.666]], "species": ["Mo", "W", "Ag", "Mo"], "frac_coords": [[0.000, 0.000, 0.005], [0.000, 0.000, 0.494], [0.500, 0.500, 0.751], [0.500, 0.500, 0.250]]}



Entry 17:
{"formula": "UTlSe3", "functional": "PBE", "state": "relaxed", "volume_a3_per_atom": 32.2, "dft_energy_ry_per_atom": -0.413, "e_form_raw_ev_per_fu": -4.0, "cell": [[6.621, 0.000, 3.154], [2.559, 6.106, 3.154], [0.200, 0.133, 8.107]], "species": ["Se", "Se", "Se", "Se", "Se", "Se", "Tl", "U", "Tl", "U"], "frac_coords": [[0.584, 0.083, 0.744], [0.917, 0.416, 0.256], [0.416, 0.412, 0.256], [0.083, 0.588, 0.744], [0.412, 0.917, 0.256], [0.588, 0.584, 0.744], [0.124, 0.124, 0.629], [0.335, 0.335, 0.995], [0.876, 0.876, 0.371], [0.665, 0.665, 0.005]]}



Entry 18:
{"formula": "CaAu3", "functional": "PBE", "state": "relaxed", "formation_enthalpy_0k_mev_per_atom": -487, "volume_a3_per_atom": 21.0, "dft_energy_ry_per_atom": -0.253, "cell": [[3.792, -4.284, 0.000], [3.792, 4.284, 0.000], [0.000, 0.000, 5.159]], "species": ["Ca", "Au", "Au", "Au", "Au", "Au", "Au", "Ca"], "frac_coords": [[0.291, 0.709, 0.250], [0.405, 0.217, 0.250], [0.097, 0.903, 0.750], [0.595, 0.783, 0.750], [0.903, 0.097, 0.250], [0.783, 0.595, 0.250], [0.217, 0.405, 0.750], [0.709, 0.291, 0.750]]}



Entry 19:
{"formula": "Li5Sb2Pd12", "functional": "PBE", "state": "relaxed", "volume_a3_per_atom": 15.8, "dft_energy_ry_per_atom": -0.340, "e_form_raw_ev_per_fu": -7.7, "cell": [[8.318, 0.000, 0.000], [-4.159, 6.319, 0.813], [0.000, -1.230, 5.561]], "species": ["Sb", "Li", "Pd", "Li", "Li", "Li", "Pd", "Pd", "Pd", "Pd", "Li", "Sb", "Pd", "Pd", "Pd", "Pd", "Pd", "Pd", "Pd"], "frac_coords": [[0.768, 0.000, 0.000], [0.664, 0.328, 0.904], [0.062, 0.604, 0.797], [0.764, 0.528, 0.502], [0.236, 0.472, 0.498], [0.000, 0.000, 0.500], [0.369, 0.202, 0.608], [0.546, 0.092, 0.274], [0.833, 0.202, 0.608], [0.542, 0.604, 0.797], [0.336, 0.672, 0.096], [0.232, 0.000, 0.000], [0.140, 0.280, 0.903], [0.631, 0.798, 0.392], [0.167, 0.798, 0.392], [0.938, 0.396, 0.203], [0.458, 0.396, 0.203], [0.860, 0.720, 0.097], [0.454, 0.908, 0.726]]}



Entry 20:
{"formula": "Hf2WAuSe", "functional": "PBE", "state": "relaxed", "volume_a3_per_atom": 21.9, "dft_energy_ry_per_atom": -0.537, "e_form_raw_ev_per_fu": 3.1, "cell": [[-2.847, -1.388, -3.756], [0.342, -4.318, 1.337], [-3.987, 0.556, 2.816]], "species": ["Se", "W", "Hf", "Au", "Hf"], "frac_coords": [[0.000, 0.000, 0.000], [0.000, 0.500, 0.000], [0.500, 0.000, 0.000], [0.500, 0.500, 0.500], [0.000, 0.000, 0.500]]}



Entry 21:
{"formula": "LaMg2Te", "functional": "PBE", "state": "relaxed", "volume_a3_per_atom": 27.8, "dft_energy_ry_per_atom": -0.244, "e_form_raw_ev_per_fu": -2.0, "cell": [[6.046, -0.002, 0.000], [2.415, 5.543, 0.000], [-4.231, -2.770, 3.314]], "species": ["Te", "La", "Mg", "Mg"], "frac_coords": [[0.500, 0.500, 0.000], [0.750, 0.250, 0.500], [0.250, 0.750, 0.500], [0.000, 0.000, 0.000]]}



Entry 22:
{"formula": "FeHgAs2", "functional": "PBE", "state": "relaxed", "formation_enthalpy_0k_mev_per_atom": 514, "volume_a3_per_atom": 18.6, "dft_energy_ry_per_atom": -0.294, "cell": [[5.242, 0.105, 0.000], [1.889, 4.891, 0.000], [-3.565, -2.498, 2.922]], "species": ["As", "Hg", "Fe", "As"], "frac_coords": [[0.500, 0.500, 0.000], [0.750, 0.250, 0.500], [0.250, 0.750, 0.500], [0.000, 0.000, 0.000]]}



Entry 23:
{"formula": "CaEr2Sn9", "functional": "PBE", "state": "relaxed", "formation_enthalpy_0k_mev_per_atom": -393, "volume_a3_per_atom": 26.3, "dft_energy_ry_per_atom": -0.318, "cell": [[4.790, 0.000, 0.000], [0.000, 4.790, 0.000], [0.000, 0.000, 13.766]], "species": ["Sn", "Er", "Sn", "Sn", "Sn", "Sn", "Er", "Sn", "Ca", "Sn", "Sn", "Sn"], "frac_coords": [[0.500, 0.500, 0.335], [0.000, 0.000, 0.336], [0.500, 0.000, 0.170], [0.000, 0.500, 0.500], [0.500, 0.500, 0.665], [0.500, 0.500, 0.000], [0.000, 0.000, 0.664], [0.000, 0.500, 0.170], [0.000, 0.000, 0.000], [0.500, 0.000, 0.830], [0.500, 0.000, 0.500], [0.000, 0.500, 0.830]]}



Entry 24:
{"formula": "La2Tb3Zn2", "functional": "PBE", "state": "relaxed", "formation_enthalpy_0k_mev_per_atom": -95, "volume_a3_per_atom": 29.5, "dft_energy_ry_per_atom": -0.283, "cell": [[4.815, 0.000, 0.000], [-2.407, 5.881, -0.423], [0.000, -3.235, 7.530]], "species": ["Tb", "La", "La", "Tb", "Tb", "Zn", "Zn"], "frac_coords": [[0.637, 0.273, 0.468], [0.863, 0.725, 0.205], [0.137, 0.275, 0.795], [0.500, 0.000, 0.000], [0.363, 0.727, 0.532], [0.138, 0.277, 0.192], [0.862, 0.723, 0.808]]}